(1)
Below is an optimized crystal structure of LaAlZn4Cu2, with properties calculated at the PBE level. Values from VASP.

Quantum ESPRESSO input file:
```
&SYSTEM
  ibrav = 0, nat = 8, ntyp = 4
/
ATOMIC_SPECIES
La 138.91 La.upf
Al 26.98 Al.upf
Zn 65.41 Zn.upf
Cu 63.55 Cu.upf
CELL_PARAMETERS angstrom
-1.284 -3.978 -0.623
2.795 -3.168 0.130
-0.971 -3.314 8.830
ATOMIC_POSITIONS angstrom
La 0.000 0.000 0.000
Al 0.270 -5.230 4.169
Zn -0.153 -5.497 6.748
Zn 0.965 -7.491 2.839
Zn -0.425 -2.969 5.498
Zn 0.693 -4.963 1.590
Cu 0.484 -7.795 5.768
Cu 0.056 -2.665 2.569
```

Computed properties:
**N(E_F)**: 0.396 states/eV/atom
**M_tot**: 0.00 μB per cell
**Energy relative to the elements**: -0.1431 eV/atom
**Space group**: R-3m (166)



(2)
Below is an optimized crystal structure of La2AlZn4Cu3, with properties calculated at the PBE level. Values from VASP.

Quantum ESPRESSO input file:
```
&SYSTEM
  ibrav = 0, nat = 10, ntyp = 4
/
ATOMIC_SPECIES
La 138.91 La.upf
Al 26.98 Al.upf
Zn 65.41 Zn.upf
Cu 63.55 Cu.upf
CELL_PARAMETERS angstrom
-2.681 -2.881 -1.299
3.048 -1.905 -2.063
2.238 -6.122 8.959
ATOMIC_POSITIONS angstrom
La -0.788 -2.951 1.560
La 3.210 -5.565 5.718
Al 1.303 -5.455 2.798
Zn 0.184 -2.393 -1.681
Zn 0.000 0.000 0.000
Zn 0.084 -5.336 5.051
Zn 2.338 -3.179 2.227
Cu 1.119 -3.061 4.480
Cu 0.594 -6.731 7.093
Cu 1.828 -1.784 0.185
```

Computed properties:
**N(E_F)**: 0.719 states/eV/atom
**M_tot**: 0.00 μB per cell
**Energy relative to the elements**: -0.2797 eV/atom
**Space group**: P-4m2 (115)



(3)
Below is an optimized crystal structure of LaAlZnCu6, with properties calculated at the PBE level. Values from VASP.

Quantum ESPRESSO input file:
```
&SYSTEM
  ibrav = 0, nat = 18, ntyp = 4
/
ATOMIC_SPECIES
La 138.91 La.upf
Al 26.98 Al.upf
Zn 65.41 Zn.upf
Cu 63.55 Cu.upf
CELL_PARAMETERS angstrom
6.944 0.000 0.000
0.000 9.213 0.000
-3.472 -4.606 4.754
ATOMIC_POSITIONS angstrom
La 3.472 2.303 2.264
La 0.000 2.303 2.490
Al 3.472 4.606 0.000
Al 3.472 0.000 0.000
Zn 1.736 -2.303 2.377
Zn -1.736 -2.303 2.377
Cu 3.472 6.910 0.672
Cu 3.472 -2.303 4.274
Cu 5.668 -0.157 1.200
Cu 1.276 4.764 1.200
Cu 1.276 -0.157 1.200
Cu 5.668 4.764 1.200
Cu 0.000 -2.303 4.082
Cu 0.000 6.910 0.480
Cu -2.196 4.764 3.554
Cu 2.196 -0.157 3.554
Cu 2.196 4.764 3.554
Cu -2.196 -0.157 3.554
```

Computed properties:
**N(E_F)**: 0.432 states/eV/atom
**M_tot**: 0.00 μB per cell
**Energy relative to the elements**: 0.1422 eV/atom
**Space group**: Imma (74)



(4)
Below is an optimized crystal structure of LaAlZn2Cu4, with properties calculated at the PBE level. Values from VASP.

Quantum ESPRESSO input file:
```
&SYSTEM
  ibrav = 0, nat = 8, ntyp = 4
/
ATOMIC_SPECIES
La 138.91 La.upf
Al 26.98 Al.upf
Zn 65.41 Zn.upf
Cu 63.55 Cu.upf
CELL_PARAMETERS angstrom
-1.465 0.884 -3.830
-3.934 -1.028 -1.029
-4.573 7.711 1.232
ATOMIC_POSITIONS angstrom
La 0.000 0.000 0.000
Al -4.986 3.783 -1.813
Zn -7.379 5.394 -2.824
Zn -2.594 2.173 -0.803
Cu -5.763 5.955 -1.015
Cu -6.501 2.937 -3.727
Cu -3.472 4.630 0.100
Cu -4.210 1.611 -2.612
```

Computed properties:
**N(E_F)**: 0.589 states/eV/atom
**M_tot**: 0.00 μB per cell
**Energy relative to the elements**: -0.1654 eV/atom
**Space group**: R-3m (166)



(5)
Below is an optimized crystal structure of La2AlZn3Cu12, with properties calculated at the PBE level. Values from VASP.

Quantum ESPRESSO input file:
```
&SYSTEM
  ibrav = 0, nat = 18, ntyp = 4
/
ATOMIC_SPECIES
La 138.91 La.upf
Al 26.98 Al.upf
Zn 65.41 Zn.upf
Cu 63.55 Cu.upf
CELL_PARAMETERS angstrom
-5.634 3.831 -3.412
-1.418 -1.993 -7.217
-6.433 -3.930 -1.111
ATOMIC_POSITIONS angstrom
La -8.104 -1.257 -7.055
La -5.382 -0.835 -4.685
Al 0.000 0.000 0.000
Zn -2.817 1.916 -1.706
Zn -0.709 -0.997 -3.608
Zn -3.216 -1.965 -0.556
Cu -2.650 0.562 -3.797
Cu -8.367 0.209 -9.592
Cu -8.777 -3.781 -8.409
Cu -2.915 -2.014 -3.033
Cu -10.945 -0.787 -6.453
Cu -4.315 -0.081 -1.771
Cu -10.835 -2.655 -7.943
Cu -5.119 -2.302 -2.149
Cu -4.708 1.688 -3.331
Cu -10.570 -0.078 -8.707
Cu -2.541 -1.306 -5.287
Cu -9.171 -2.012 -9.970
```

Computed properties:
**N(E_F)**: 0.436 states/eV/atom
**M_tot**: 0.00 μB per cell
**Energy relative to the elements**: 0.2115 eV/atom
**Space group**: R-3m (166)



(6)
Below is an optimized crystal structure of LaAlZn2Cu, with properties calculated at the PBE level. Values from VASP.

Quantum ESPRESSO input file:
```
&SYSTEM
  ibrav = 0, nat = 5, ntyp = 4
/
ATOMIC_SPECIES
La 138.91 La.upf
Al 26.98 Al.upf
Zn 65.41 Zn.upf
Cu 63.55 Cu.upf
CELL_PARAMETERS angstrom
4.234 0.000 0.000
0.000 4.264 0.000
-2.117 -2.132 5.389
ATOMIC_POSITIONS angstrom
La 0.000 0.000 4.767
Al 0.000 2.132 2.124
Zn 2.117 0.000 2.102
Zn 0.000 0.000 0.592
Cu 2.117 2.132 3.479
```

Computed properties:
**N(E_F)**: 0.741 states/eV/atom
**M_tot**: 0.00 μB per cell
**Energy relative to the elements**: -0.3436 eV/atom
**Space group**: Imm2 (44)



(7)
Below is an optimized crystal structure of La2Al4Zn3Cu, with properties calculated at the PBE level. Values from VASP.

Quantum ESPRESSO input file:
```
&SYSTEM
  ibrav = 0, nat = 10, ntyp = 4
/
ATOMIC_SPECIES
La 138.91 La.upf
Al 26.98 Al.upf
Zn 65.41 Zn.upf
Cu 63.55 Cu.upf
CELL_PARAMETERS angstrom
4.331 0.000 0.000
0.000 4.331 0.000
0.000 0.000 10.624
ATOMIC_POSITIONS angstrom
La 2.165 0.000 2.719
La 0.000 2.165 7.905
Al 2.165 2.165 0.000
Al 0.000 0.000 0.000
Al 2.165 0.000 6.604
Al 0.000 2.165 4.020
Zn 0.000 0.000 5.312
Zn 2.165 0.000 9.145
Zn 0.000 2.165 1.479
Cu 2.165 2.165 5.312
```

Computed properties:
**N(E_F)**: 0.459 states/eV/atom
**M_tot**: 0.00 μB per cell
**Energy relative to the elements**: -0.4203 eV/atom
**Space group**: P-4m2 (115)



(8)
Below is an optimized crystal structure of La2Al3ZnCu4, with properties calculated at the PBE level. Values from VASP.

Quantum ESPRESSO input file:
```
&SYSTEM
  ibrav = 0, nat = 10, ntyp = 4
/
ATOMIC_SPECIES
La 138.91 La.upf
Al 26.98 Al.upf
Zn 65.41 Zn.upf
Cu 63.55 Cu.upf
CELL_PARAMETERS angstrom
4.359 0.000 0.000
0.000 4.359 0.000
0.000 0.000 9.930
ATOMIC_POSITIONS angstrom
La 2.180 0.000 2.429
La 0.000 2.180 7.501
Al 0.000 0.000 4.965
Al 2.180 0.000 8.684
Al 0.000 2.180 1.247
Zn 2.180 2.180 4.965
Cu 2.180 2.180 0.000
Cu 0.000 0.000 0.000
Cu 2.180 0.000 6.226
Cu 0.000 2.180 3.704
```

Computed properties:
**N(E_F)**: 0.816 states/eV/atom
**M_tot**: 0.00 μB per cell
**Energy relative to the elements**: -0.3463 eV/atom
**Space group**: P-4m2 (115)



(9)
Below is an optimized crystal structure of La2Al3Zn4Cu, with properties calculated at the PBE level. Values from VASP.

Quantum ESPRESSO input file:
```
&SYSTEM
  ibrav = 0, nat = 10, ntyp = 4
/
ATOMIC_SPECIES
La 138.91 La.upf
Al 26.98 Al.upf
Zn 65.41 Zn.upf
Cu 63.55 Cu.upf
CELL_PARAMETERS angstrom
-0.765 -0.152 4.313
2.122 -3.827 0.241
8.885 5.037 1.754
ATOMIC_POSITIONS angstrom
La 1.859 1.195 2.599
La 7.704 1.853 1.432
Al 4.443 2.519 0.877
Al 7.312 4.286 3.676
Al 2.252 -1.239 0.356
Zn 0.678 -1.990 2.277
Zn 0.000 0.000 0.000
Zn 5.155 3.064 3.250
Zn 4.408 -0.016 0.782
Cu 5.121 0.529 3.154
```

Computed properties:
**N(E_F)**: 0.628 states/eV/atom
**M_tot**: 0.00 μB per cell
**Energy relative to the elements**: -0.3658 eV/atom
**Space group**: P-4m2 (115)



(10)
Below is an optimized crystal structure of La2Al4ZnCu3, with properties calculated at the PBE level. Values from VASP.

Quantum ESPRESSO input file:
```
&SYSTEM
  ibrav = 0, nat = 10, ntyp = 4
/
ATOMIC_SPECIES
La 138.91 La.upf
Al 26.98 Al.upf
Zn 65.41 Zn.upf
Cu 63.55 Cu.upf
CELL_PARAMETERS angstrom
4.334 0.000 0.000
0.000 4.334 0.000
0.000 0.000 10.244
ATOMIC_POSITIONS angstrom
La 2.167 0.000 2.598
La 0.000 2.167 7.647
Al 2.167 2.167 0.000
Al 0.000 0.000 0.000
Al 2.167 0.000 6.486
Al 0.000 2.167 3.759
Zn 2.167 2.167 5.122
Cu 0.000 0.000 5.122
Cu 2.167 0.000 8.952
Cu 0.000 2.167 1.292
```

Computed properties:
**N(E_F)**: 0.630 states/eV/atom
**M_tot**: 0.00 μB per cell
**Energy relative to the elements**: -0.4085 eV/atom
**Space group**: P-4m2 (115)



(11)
Below is an optimized crystal structure of LaAl4ZnCu2, with properties calculated at the PBE level. Values from VASP.

Quantum ESPRESSO input file:
```
&SYSTEM
  ibrav = 0, nat = 8, ntyp = 4
/
ATOMIC_SPECIES
La 138.91 La.upf
Al 26.98 Al.upf
Zn 65.41 Zn.upf
Cu 63.55 Cu.upf
CELL_PARAMETERS angstrom
4.264 0.000 0.000
2.132 3.692 0.000
2.132 1.231 9.170
ATOMIC_POSITIONS angstrom
La 0.000 0.000 0.000
Al 4.264 2.462 7.169
Al 6.396 3.692 3.493
Al 2.132 1.231 5.677
Al 4.264 2.462 2.001
Zn 4.264 2.462 4.585
Cu 6.396 3.692 6.438
Cu 2.132 1.231 2.732
```

Computed properties:
**N(E_F)**: 0.304 states/eV/atom
**M_tot**: 0.00 μB per cell
**Energy relative to the elements**: -0.2181 eV/atom
**Space group**: R-3m (166)



(12)
Below is an optimized crystal structure of La2Al3ZnCu12, with properties calculated at the PBE level. Values from VASP.

Quantum ESPRESSO input file:
```
&SYSTEM
  ibrav = 0, nat = 18, ntyp = 4
/
ATOMIC_SPECIES
La 138.91 La.upf
Al 26.98 Al.upf
Zn 65.41 Zn.upf
Cu 63.55 Cu.upf
CELL_PARAMETERS angstrom
-5.965 -0.803 -4.765
-3.751 -6.694 0.224
-6.999 0.041 3.155
ATOMIC_POSITIONS angstrom
La -10.002 -4.461 -0.830
La -6.714 -2.995 -0.557
Al -2.983 -0.401 -2.383
Al -1.876 -3.347 0.112
Al -3.499 0.021 1.577
Zn 0.000 0.000 0.000
Cu -3.562 -2.646 -1.544
Cu -10.887 -6.471 -2.810
Cu -11.415 -6.040 1.233
Cu -3.908 -2.364 1.103
Cu -12.545 -3.032 -1.314
Cu -4.648 -0.395 -0.564
Cu -13.153 -4.810 0.157
Cu -5.828 -0.985 1.423
Cu -5.301 -1.416 -2.620
Cu -12.808 -5.092 -2.490
Cu -4.170 -4.424 -0.073
Cu -12.068 -7.061 -0.822
```

Computed properties:
**N(E_F)**: 0.450 states/eV/atom
**M_tot**: 0.00 μB per cell
**Energy relative to the elements**: 0.1912 eV/atom
**Space group**: R-3m (166)



- Number 1 is which compound?
  LaAlZn4Cu2



- What is the energy relative to the elements in the fifth record?
  0.2115 eV/atom



- Which of these has the highest N(E_F)?
  La2Al3ZnCu4



- What is the M_tot in the eleventh record?
  0.00 μB per cell